A geometry-optimized CaInIr structure, computed with PBE.

abc: 6.7130 6.7130 6.7130
angles: 90.00 90.00 90.00
With the nearest neighbours (Å) after each atom.
Space group F-43m (No. 216)
Asymmetric unit:
1 Ca 0.0000 0.0000 0.0000  4 In 2.91, 4 Ir 2.91
2 In 0.2500 0.2500 0.2500  4 Ca 2.91
3 Ir 0.2500 0.2500 0.7500  4 Ca 2.91

Calculated values
- D(E_F) (states/eV per cell) = 4.4
- E (eV/cell) = -48.91